(1)
Tl2SbAu: optimized geometry, PBE.

Unit cell a=6.203 b=6.203 c=6.203 alpha=137.92 beta=137.92 gamma=61.02
Element x y z (fractional)
Tl1 0.000 0.000 0.000
Tl2 0.500 0.500 0.000
Sb1 0.750 0.250 0.500
Au1 0.250 0.750 0.500

Results
Energy relative to the elements, uncorrected ... 0.091 eV per atom
Space-group type ... I4/mmm
Uncorrected energy ... -2.942 eV per atom
Volume ... 26.50 A^3/atom
M_tot ... 0.0 μB/cell


(2)
Tl5SbAu2: optimized geometry, PBE.

Unit cell a=4.123 b=6.857 c=17.051 alpha=90.00 beta=90.00 gamma=107.49
Element x y z (fractional)
Tl1 0.045 0.089 0.403
Tl2 0.531 0.062 0.750
Tl3 0.342 0.683 0.051
Tl4 0.469 0.938 0.250
Tl5 0.658 0.317 0.949
Tl6 0.955 0.911 0.903
Tl7 0.045 0.089 0.097
Tl8 0.342 0.683 0.449
Tl9 0.658 0.317 0.551
Tl10 0.955 0.911 0.597
Au1 0.715 0.429 0.133
Au2 0.285 0.571 0.633
Au3 0.285 0.571 0.867
Au4 0.715 0.429 0.367
Sb1 0.208 0.417 0.250
Sb2 0.792 0.583 0.750

Results
Energy relative to the elements, uncorrected ... -0.005 eV per atom
Space-group type ... Cmcm
Uncorrected energy ... -2.818 eV per atom
Volume ... 28.74 A^3/atom
M_tot ... 0.0 μB/cell


(3)
Tl2SbAu: optimized geometry, PBE.

Unit cell a=3.404 b=3.404 c=9.225 alpha=90.00 beta=90.00 gamma=90.00
Element x y z (fractional)
Sb1 0.500 0.500 0.750
Au1 0.500 0.500 0.250
Tl1 0.000 0.000 0.032
Tl2 0.000 0.000 0.468

Results
Energy relative to the elements, uncorrected ... 0.070 eV per atom
Space-group type ... P4/mmm
Uncorrected energy ... -2.963 eV per atom
Volume ... 26.72 A^3/atom
M_tot ... 0.0 μB/cell


(4)
Tl4SbAu5: optimized geometry, PBE.

Unit cell a=5.960 b=7.164 c=7.207 alpha=80.02 beta=66.70 gamma=65.20
Element x y z (fractional)
Tl1 0.804 0.608 0.781
Tl2 0.589 0.218 0.605
Tl3 0.194 0.392 0.219
Tl4 0.408 0.782 0.395
Au1 0.500 0.000 0.000
Au2 0.105 0.180 0.612
Au3 0.893 0.820 0.387
Au4 0.715 0.389 0.179
Au5 0.282 0.611 0.821
Sb1 0.000 0.000 0.000

Results
Energy relative to the elements, uncorrected ... -0.004 eV per atom
Space-group type ... P1
Uncorrected energy ... -3.002 eV per atom
Volume ... 25.66 A^3/atom
M_tot ... 0.0 μB/cell


(5)
Tl12Sb7Au: optimized geometry, PBE.

Unit cell a=9.210 b=9.210 c=9.210 alpha=107.57 beta=107.57 gamma=107.57
Element x y z (fractional)
Sb1 0.707 0.988 0.066
Sb2 0.988 0.066 0.707
Sb3 0.066 0.707 0.988
Sb4 0.500 0.500 0.500
Sb5 0.934 0.293 0.012
Sb6 0.293 0.012 0.934
Sb7 0.012 0.934 0.293
Tl1 0.679 0.358 0.182
Tl2 0.818 0.321 0.642
Tl3 0.677 0.584 0.907
Tl4 0.642 0.818 0.321
Tl5 0.321 0.642 0.818
Tl6 0.093 0.323 0.416
Tl7 0.182 0.679 0.358
Tl8 0.584 0.907 0.677
Tl9 0.416 0.093 0.323
Tl10 0.907 0.677 0.584
Tl11 0.358 0.182 0.679
Tl12 0.323 0.416 0.093
Au1 0.000 0.000 0.000

Results
Energy relative to the elements, uncorrected ... 0.024 eV per atom
Space-group type ... R-3
Uncorrected energy ... -3.003 eV per atom
Volume ... 32.01 A^3/atom
M_tot ... 0.0 μB/cell


(6)
TlSb2Au: optimized geometry, PBE.

Unit cell a=4.341 b=5.293 c=5.294 alpha=110.94 beta=90.00 gamma=90.00
Element x y z (fractional)
Sb1 0.000 0.450 0.550
Sb2 0.000 0.050 0.950
Tl1 0.500 0.750 0.250
Au1 0.500 0.250 0.750

Results
Energy relative to the elements, uncorrected ... -0.054 eV per atom
Space-group type ... Cmmm
Uncorrected energy ... -3.526 eV per atom
Volume ... 28.40 A^3/atom
M_tot ... 0.0 μB/cell